[1]
VASP calculation (GGA-PBE) on crystalline Sc2AlMo at its relaxed geometry.

Formation energy ... 0.36 eV/atom
D(E_F) ... 5.50 states/eV/f.u.
Size of the total moment ... 0.0 μB per cell
Calculated total energy ... -6.450 eV per atom
Volume ... 83.6 Å³/cell

a = 10.4530 Å, b = 10.4530 Å, c = 10.4530 Å
α = 16.84°, β = 16.84°, γ = 16.84°
Closest atoms and distances in Å follow each position.
Atoms (fractional coordinates):
Sc  0.9055  0.9055  0.9055  3 Mo 2.85, 1 Al 2.92, 6 Sc 3.06
Sc  0.0945  0.0945  0.0945  3 Mo 2.85, 1 Al 2.92, 6 Sc 3.06
Al  0.0000  0.0000  0.0000  2 Sc 2.92, 6 Al 3.06
Mo  0.5000  0.5000  0.5000  6 Sc 2.85, 6 Mo 3.06

***

[2]
VASP calculation (GGA-PBE) on crystalline Sc6Al5Mo at its relaxed geometry.

Formation energy ... -0.41 eV/atom
D(E_F) ... 6.43 states/eV/f.u.
Size of the total moment ... 0.0 μB per cell
Calculated total energy ... -6.042 eV per atom
Volume ... 230.5 Å³/cell

a = 4.7823 Å, b = 6.7260 Å, c = 7.5534 Å
α = 90.00°, β = 71.54°, γ = 90.00°
Closest atoms and distances in Å follow each position.
Atoms (fractional coordinates):
Al  0.3304  0.5000  0.3393  8 Sc 2.94-2.97
Al  0.6696  0.5000  0.6607  8 Sc 2.94-2.97
Al  0.3403  0.0000  0.3195  8 Sc 2.82-3.00
Al  0.0000  0.5000  0.0000  8 Sc 2.92-2.94
Al  0.6597  0.0000  0.6805  8 Sc 2.82-3.00
Sc  0.1642  0.7574  0.6716  1 Mo 2.86, 7 Al 2.90-3.00
Sc  0.1642  0.2426  0.6716  1 Mo 2.86, 7 Al 2.90-3.00
Sc  0.5000  0.2458  0.0000  6 Al 2.82-2.97, 2 Mo 2.91
Sc  0.8358  0.7574  0.3284  1 Mo 2.86, 7 Al 2.90-3.00
Sc  0.8358  0.2426  0.3284  1 Mo 2.86, 7 Al 2.90-3.00
Sc  0.5000  0.7542  0.0000  6 Al 2.82-2.97, 2 Mo 2.91
Mo  0.0000  0.0000  0.0000  8 Sc 2.86-2.91